Entry 1:
3
Lattice="3.798 0.000 0.000 0.000 3.917 0.000 0.000 -1.958 3.392" Properties=species:S:1:pos:R:3 comment="HoCoNi | Alexandria | PBE-GGA | relaxed" crystal_system=hexagonal formation_enthalpy_0k_ev_per_atom=-0.263 n_ef_per_ev_fu=3.62 rho_g_cm3=9.30 pbc="T T T"
Ho 2.532 1.958 1.131
Co 0.633 0.000 2.261
Ni 0.633 0.000 0.000

Entry 2:
24
Lattice="3.885 0.000 0.000 0.000 11.242 0.000 0.000 0.000 11.007" Properties=species:S:1:pos:R:3 comment="Ho3CoNi2 | Alexandria | PBE-GGA | relaxed" crystal_system=orthorhombic formation_enthalpy_0k_ev_per_atom=-0.349 n_ef_per_ev_fu=5.55 rho_g_cm3=9.27 pbc="T T T"
Ho 0.971 4.988 4.188
Ho 2.914 10.609 1.315
Ho 0.971 1.390 6.134
Ho 2.914 9.851 4.872
Ho 2.914 3.396 8.698
Ho 0.971 0.633 9.691
Ho 2.914 2.225 3.195
Ho 0.971 7.846 2.309
Ho 2.914 7.011 10.376
Ho 0.971 4.230 0.631
Ho 0.971 9.017 7.812
Ho 2.914 6.253 6.819
Ni 0.971 5.512 8.907
Ni 2.914 3.486 5.760
Ni 2.914 2.135 0.256
Ni 0.971 0.108 3.403
Ni 0.971 9.107 10.750
Ni 0.971 7.756 5.247
Ni 2.914 5.729 2.100
Ni 2.914 11.133 7.603
Co 0.971 4.157 6.898
Co 0.971 1.464 1.395
Co 2.914 9.778 9.612
Co 2.914 7.085 4.108

Entry 3:
8
Lattice="3.616 0.000 0.000 1.808 5.543 0.236 1.808 1.250 5.406" Properties=species:S:1:pos:R:3 comment="HoCo2Ni5 | Alexandria | PBE-GGA | relaxed" crystal_system=orthorhombic formation_enthalpy_0k_ev_per_atom=0.005 n_ef_per_ev_fu=11.17 rho_g_cm3=8.92 pbc="T T T"
Ni 3.616 3.192 1.046
Ni 3.616 3.602 4.596
Ni 1.808 3.397 2.821
Ni 3.616 1.614 2.945
Ni 3.616 5.179 2.696
Co 5.424 5.145 4.273
Co 1.808 1.648 1.369
Ho 0.000 0.000 0.000

Q: What is the formula in the third record?
A: HoCo2Ni5